Model A:
A relaxed structure of SrYIr2. Source: Alexandria via LeMat-Bulk, functional PBE.

The density of states at the Fermi level comes out at 1.3 states/eV per cell.

It has space group Pmmm (No. 47), with a = 3.3527 Å, b = 3.4020 Å, c = 7.6119 Å, α = 90.00°, β = 90.00° and γ = 90.00°. The asymmetric unit holds Sr at (0.0000, 0.0000, 0.0000), Y at (0.0000, 0.0000, 0.5000) and Ir at (0.5000, 0.5000, 0.2783).

Model B:
A relaxed structure of SrYIr2. Source: Alexandria via LeMat-Bulk, functional PBE.

The density of states at the Fermi level comes out at 7.4 states/eV per cell.

It has space group R-3m (No. 166, hexagonal axes), with a = 3.4739 Å, b = 3.4739 Å, c = 26.0360 Å, α = 90.00°, β = 90.00° and γ = 120.00°. The asymmetric unit holds Sr at (0.0000, 0.0000, 0.0000), Y at (0.0000, 0.0000, 0.5000) and Ir at (0.0000, 0.0000, 0.2443).

Which structure is most stable, and how do the rest compare? From most to least stable: model A, model B.